Compound: MnCrCu
Source: Alexandria
Functional: meta-GGA SCAN
Structure: single point on PBEsol structure

```
MnCrCu
1.0
-3.817 0.566 0.472
-1.684 -0.843 3.401
-1.270 2.863 2.303
Cr Cu Mn
1 1 1
direct
0.250 0.250 0.250 Cr
0.000 0.000 0.000 Cu
0.500 0.500 0.500 Mn
```

Calculated values
energy: -16.7517 eV/atom
symmetry: No. 216
total magnetization: 0.06 μB per formula unit
excess energy over the best structure of this formula in the dataset: 269 meV per atom
calculated formation energy: 0.5280 eV/atom